No. 1
The following is a PBE calculation of a relaxed NdBO3 crystal, from the Alexandria database.

a b c (Å): 5.0836 5.8036 8.1423
angles (deg): 90.00 90.00 90.00
With the nearest neighbours (Å) after each atom.
Atoms (fractional coordinates):
Nd  0.2500  0.2577  0.4148  7 O 2.40-2.61
Nd  0.7500  0.7423  0.5852  7 O 2.40-2.61
Nd  0.2500  0.7577  0.0852  7 O 2.40-2.61
Nd  0.7500  0.2423  0.9148  7 O 2.40-2.61
B  0.2500  0.4196  0.7623  3 O 1.37-1.38
B  0.7500  0.5804  0.2377  3 O 1.37-1.38
B  0.2500  0.9196  0.7377  3 O 1.37-1.38
B  0.7500  0.0804  0.2623  3 O 1.37-1.38
O  0.4846  0.9148  0.8237  1 B 1.38
O  0.9846  0.0852  0.1763  1 B 1.38
O  0.0154  0.4148  0.6763  1 B 1.38
O  0.5154  0.5852  0.3237  1 B 1.38
O  0.7500  0.0952  0.4308  1 B 1.37
O  0.2500  0.9048  0.5692  1 B 1.37
O  0.7500  0.5952  0.0692  1 B 1.37
O  0.2500  0.4048  0.9308  1 B 1.37
O  0.5154  0.0852  0.1763  1 B 1.38
O  0.0154  0.9148  0.8237  1 B 1.38
O  0.9846  0.5852  0.3237  1 B 1.38
O  0.4846  0.4148  0.6763  1 B 1.38

## Properties
N(E_F)	0.000	states/eV/cell
spin magnetization	0.000	μB/atom
formation energy (no corrections)	-15.19	eV per formula unit
space-group type	Pnma

No. 2
The following is a PBE calculation of a relaxed NdBO4 crystal, from the Alexandria database.

a b c (Å): 5.5504 4.4389 5.5503
angles (deg): 90.00 90.00 90.00
With the nearest neighbours (Å) after each atom.
Atoms (fractional coordinates):
Nd  0.0000  0.5000  0.2500  8 O 2.48
Nd  0.5000  0.5000  0.7500  8 O 2.48
B  0.0000  0.0000  0.7500  4 O 1.47
B  0.5000  0.0000  0.2500  4 O 1.47
O  0.3570  0.7861  0.1070  1 B 1.47
O  0.1430  0.2139  0.8930  1 B 1.47
O  0.3570  0.2139  0.3930  1 B 1.47
O  0.1430  0.7861  0.6070  1 B 1.47
O  0.6430  0.7861  0.3930  1 B 1.47
O  0.8570  0.2139  0.6070  1 B 1.47
O  0.6430  0.2139  0.1070  1 B 1.47
O  0.8570  0.7861  0.8930  1 B 1.47

## Properties
N(E_F)	3.460	states/eV/cell
spin magnetization	0.337	μB/atom
formation energy (no corrections)	-13.42	eV per formula unit
space-group type	P4/nbm